No. 1
5
Lattice="-1.8729 1.8729 5.0802 1.8729 -1.8729 5.0802 1.8729 1.8729 -5.0802" Properties=species:S:1:pos:R:3 comment="Cr2OsRu2 GGA-PBE optimized geometry" dos_ef_per_ev_cell=6.300 e_form_ev_per_atom=0.685 pbc="T T T"
Cr 0.0000 0.0000 1.0149
Cr 0.0000 0.0000 9.1455
Os 0.0000 0.0000 5.0802
Ru 1.8729 0.0000 2.5401
Ru 0.0000 1.8729 2.5401

***

No. 2
4
Lattice="2.6898 0.0000 0.0000 0.0000 3.7640 0.0000 0.0000 0.0000 5.3777" Properties=species:S:1:pos:R:3 comment="CrOsRu2 GGA-PBE optimized geometry" dos_ef_per_ev_cell=4.567 e_form_ev_per_atom=0.110 pbc="T T T"
Cr 0.0000 0.0000 0.0000
Os 1.3449 1.8820 1.3174
Ru 0.0000 0.0000 2.6874
Ru 1.3449 1.8820 4.0991